#w
Computed, not measured: a relaxed structure of Li7Mn4CoO12 at the PBE+U level of DFT.

Values from the calculation:
Its space-group type is P1. As for the total magnetic moment: 18.01 μB/f.u.

Lattice parameters (Å, degrees): 3.008 6.030 12.579 76.48 88.11 85.54
Each line ends with the local moment (μB).
Sites, in units of the cell vectors:
Li 0.495 0.333 0.834  0.00
O 0.032 0.077 0.843  0.02
Mn 0.980 0.664 0.666  3.86
O 0.952 0.715 0.503  -0.10
Mn 0.483 0.495 0.492  3.17
Li 0.977 0.817 0.327  0.01
Li 0.006 0.497 0.006  0.00
Co 0.519 0.172 0.177  2.35
O 0.010 0.280 0.498  -0.09
O 0.512 0.089 0.318  0.30
O 0.495 0.579 0.344  0.03
Li 0.541 0.025 0.487  0.00
O 0.042 0.394 0.168  0.14
O 0.961 0.593 0.826  0.01
Li 0.502 0.651 0.175  0.00
Li 0.023 0.352 0.328  0.01
O 0.451 0.430 0.657  0.01
O 0.473 0.760 0.995  0.01
O 0.520 0.907 0.671  0.01
Mn 0.007 0.000 0.006  3.85
O 0.983 0.930 0.163  0.03
O 0.537 0.235 0.017  0.04
Mn 0.496 0.835 0.835  3.87
Li 0.004 0.170 0.666  0.00

#x
Computed, not measured: a relaxed structure of Li7Mn4CoO12 at the PBE+U level of DFT.

Values from the calculation:
Its space-group type is C2/m. As for the total magnetic moment: 16.00 μB/f.u.

Lattice parameters (Å, degrees): 7.965 7.965 11.746 56.01 56.01 20.82
Each line ends with the local moment (μB).
Sites, in units of the cell vectors:
Co 0.000 0.000 0.000  1.97
O 0.176 0.176 0.606  -0.08
O 0.480 0.480 0.386  0.01
Mn 0.337 0.337 0.997  3.85
Li 0.347 0.347 0.741  0.00
O 0.520 0.520 0.614  0.01
O 0.824 0.824 0.394  -0.08
Li 0.653 0.653 0.259  0.00
Li 0.004 0.004 0.742  0.01
Li 0.668 0.668 0.755  0.00
O 0.830 0.830 0.115  0.03
O 0.159 0.159 0.121  0.01
O 0.493 0.493 0.115  0.00
Li 0.000 0.000 0.500  0.01
Mn 0.662 0.662 0.502  3.12
Li 0.332 0.332 0.245  0.00
O 0.831 0.831 0.613  -0.07
O 0.841 0.841 0.879  0.01
O 0.169 0.169 0.387  -0.07
O 0.170 0.170 0.885  0.03
O 0.507 0.507 0.885  0.00
Mn 0.663 0.663 0.003  3.85
Mn 0.338 0.338 0.498  3.12
Li 0.996 0.996 0.258  0.01

#y
Computed, not measured: a relaxed structure of Li7Mn4CoO12 at the PBE+U level of DFT.

Values from the calculation:
Its space-group type is P1. As for the total magnetic moment: 16.00 μB/f.u.

Lattice parameters (Å, degrees): 5.031 5.825 7.947 79.41 80.32 73.24
Each line ends with the local moment (μB).
Sites, in units of the cell vectors:
O 0.228 0.353 0.440  -0.10
Li 0.515 0.333 0.149  0.00
O 0.232 0.021 0.737  0.04
Li 0.499 0.168 0.829  0.01
Li 0.983 0.839 0.678  0.00
Li 0.492 0.001 0.511  0.00
O 0.268 0.684 0.078  0.00
O 0.751 0.193 0.579  0.01
Mn 0.998 0.330 0.673  3.15
Li 0.994 0.167 0.335  0.00
O 0.745 0.841 0.945  -0.07
O 0.742 0.978 0.256  -0.01
O 0.232 0.500 0.738  0.07
Mn 0.012 0.001 0.993  3.85
O 0.270 0.810 0.394  -0.05
O 0.258 0.141 0.091  -0.04
Li 0.498 0.668 0.829  0.00
Mn 0.507 0.833 0.163  3.21
Li 0.017 0.499 0.989  0.01
O 0.738 0.642 0.592  -0.03
O 0.747 0.519 0.252  0.01
Mn 0.995 0.665 0.337  3.86
Co 0.490 0.496 0.515  1.86
O 0.789 0.317 0.901  -0.06

#z
Computed, not measured: a relaxed structure of Li7Mn4CoO12 at the PBE+U level of DFT.

Values from the calculation:
Its space-group type is Pm. As for the total magnetic moment: 10.00 μB/f.u.

Lattice parameters (Å, degrees): 2.886 5.262 14.647 86.86 90.00 90.00
Each line ends with the local moment (μB).
Sites, in units of the cell vectors:
O 0.000 0.720 0.915  -0.07
Mn 0.500 0.473 0.493  3.11
O 0.500 0.507 0.746  0.06
Li 0.500 0.499 0.010  0.01
O 0.500 0.172 0.928  0.00
O 0.500 0.785 0.588  0.03
Li 0.000 0.998 0.488  0.01
O 0.500 0.497 0.241  0.36
Li 0.000 0.325 0.335  0.01
O 0.000 0.645 0.428  -0.07
Mn 0.500 0.846 0.833  3.86
Mn 0.000 0.644 0.665  -3.85
Li 0.000 0.331 0.830  0.00
O 0.000 0.291 0.081  0.05
O 0.500 0.848 0.070  -0.06
O 0.500 0.198 0.425  -0.02
Li 0.500 0.144 0.658  0.00
O 0.000 0.328 0.574  -0.10
Li 0.000 0.698 0.179  0.01
O 0.000 0.994 0.756  -0.07
Li 0.500 0.822 0.323  0.01
Co 0.500 0.209 0.184  2.97
O 0.000 0.012 0.247  0.28
Mn 0.000 0.015 0.004  3.24

Most stable to least stable: #y, #x, #z, #w